[1]
! SrZnNF2 | Alexandria | SCAN | PBEsol geometry; values from VASP
! energy above the most stable polymorph in this dataset: 0.00 eV per formula unit
! total moment: 0.200 μB/atom
! uncorrected formation energy: -1835 meV/atom
! V: 13.45 A^3/atom
&SYSTEM
  ibrav = 0, nat = 5, ntyp = 4
/
ATOMIC_SPECIES
Sr 87.62 Sr.upf
Zn 65.41 Zn.upf
N 14.01 N.upf
F 19.00 F.upf
ATOMIC_POSITIONS crystal
Sr 0.000 0.000 0.000
Zn 0.500 0.500 0.500
N 0.500 0.500 0.000
F 0.000 0.500 0.500
F 0.500 0.000 0.500
CELL_PARAMETERS angstrom
4.178 0.000 0.000
0.000 4.178 0.000
0.000 0.000 3.854



[2]
! SbWAu2 | Alexandria | SCAN | PBEsol geometry; values from VASP
! total moment: 0.000 μB/atom
! uncorrected formation energy: 555 meV/atom
! V: 18.10 A^3/atom
&SYSTEM
  ibrav = 0, nat = 4, ntyp = 3
/
ATOMIC_SPECIES
Sb 121.76 Sb.upf
W 183.84 W.upf
Au 196.97 Au.upf
ATOMIC_POSITIONS crystal
Sb 0.000 0.000 0.000
W 0.500 0.500 0.500
Au 0.229 0.229 0.734
Au 0.771 0.771 0.266
CELL_PARAMETERS angstrom
5.266 -1.527 0.000
5.266 1.527 0.000
-1.043 0.000 4.504



[3]
! CrReRh2 | Alexandria | SCAN | PBEsol geometry; values from VASP
! calculated formation energy: -1.25 kcal/mol of atoms
! energy above the most stable polymorph in this dataset: 0.38 eV per formula unit
! total moment: 0.000 μB/atom
! V: 13.17 A^3/atom
&SYSTEM
  ibrav = 0, nat = 4, ntyp = 3
/
ATOMIC_SPECIES
Cr 52.00 Cr.upf
Re 186.21 Re.upf
Rh 102.91 Rh.upf
ATOMIC_POSITIONS crystal
Cr 0.000 0.000 0.000
Re 0.000 0.000 0.500
Rh 0.500 0.500 0.238
Rh 0.500 0.500 0.762
CELL_PARAMETERS angstrom
2.646 0.000 0.000
0.000 2.646 0.000
0.000 0.000 7.525



[4]
! Ti5CoSe10 | Alexandria | SCAN | PBEsol geometry; values from VASP
! total moment: 0.100 μB/atom
! uncorrected formation energy: -1148 meV/atom
! V: 18.84 A^3/atom
&SYSTEM
  ibrav = 0, nat = 16, ntyp = 3
/
ATOMIC_SPECIES
Ti 47.87 Ti.upf
Co 58.93 Co.upf
Se 78.96 Se.upf
ATOMIC_POSITIONS crystal
Ti 0.000 0.000 0.000
Ti 0.193 0.398 0.397
Ti 0.401 0.798 0.797
Ti 0.599 0.202 0.203
Ti 0.807 0.602 0.603
Co 0.500 0.500 0.000
Se 0.082 0.762 0.493
Se 0.121 0.639 0.911
Se 0.279 0.161 0.890
Se 0.319 0.040 0.307
Se 0.480 0.563 0.295
Se 0.520 0.437 0.705
Se 0.681 0.960 0.693
Se 0.721 0.839 0.110
Se 0.879 0.361 0.089
Se 0.918 0.238 0.507
CELL_PARAMETERS angstrom
6.009 0.000 0.000
-0.024 6.757 0.000
-2.980 -2.321 7.424



[5]
! KCo2Ru | Alexandria | SCAN | PBEsol geometry; values from VASP
! calculated formation energy: 20.48 kcal/mol of atoms
! energy above the most stable polymorph in this dataset: 0.45 eV per formula unit
! total moment: 0.891 μB/atom
! V: 14.59 A^3/atom
&SYSTEM
  ibrav = 0, nat = 4, ntyp = 3
/
ATOMIC_SPECIES
K 39.10 K.upf
Co 58.93 Co.upf
Ru 101.07 Ru.upf
ATOMIC_POSITIONS crystal
K 0.000 0.000 0.000
Co 0.236 0.236 0.236
Co 0.764 0.764 0.764
Ru 0.500 0.500 0.500
CELL_PARAMETERS angstrom
1.332 0.769 9.497
-1.332 0.769 9.497
0.000 -1.538 9.497



[6]
! Hg2TePb | Alexandria | SCAN | PBEsol geometry; values from VASP
! energy above the most stable polymorph in this dataset: 0.00 eV per formula unit
! total moment: 0.000 μB/atom
! uncorrected formation energy: -113 meV/atom
! V: 29.18 A^3/atom
&SYSTEM
  ibrav = 0, nat = 4, ntyp = 3
/
ATOMIC_SPECIES
Hg 200.59 Hg.upf
Te 127.60 Te.upf
Pb 207.20 Pb.upf
ATOMIC_POSITIONS crystal
Hg 0.000 0.000 0.000
Hg 0.738 0.738 0.213
Te 0.492 0.492 0.478
Pb 0.244 0.244 0.733
CELL_PARAMETERS angstrom
3.805 -2.192 0.000
3.805 2.192 0.000
-2.527 0.000 6.997



[7]
! NbZnBi3 | Alexandria | SCAN | PBEsol geometry; values from VASP
! calculated formation energy: 13.24 kcal/mol of atoms
! total moment: 0.000 μB/atom
! V: 32.05 A^3/atom
&SYSTEM
  ibrav = 0, nat = 5, ntyp = 3
/
ATOMIC_SPECIES
Nb 92.91 Nb.upf
Zn 65.41 Zn.upf
Bi 208.98 Bi.upf
ATOMIC_POSITIONS crystal
Nb 0.000 0.000 0.000
Zn 0.500 0.500 0.500
Bi 0.000 0.000 0.500
Bi 0.000 0.500 0.000
Bi 0.500 0.000 0.000
CELL_PARAMETERS angstrom
5.432 0.000 0.000
0.000 5.432 0.000
0.000 0.000 5.432



[8]
! ZnP2H8O10 | Alexandria | SCAN | PBEsol geometry; values from VASP
! total moment: 0.000 μB/atom
! energy: -315.72 eV per cell
! V: 8.59 A^3/atom
&SYSTEM
  ibrav = 0, nat = 42, ntyp = 4
/
ATOMIC_SPECIES
Zn 65.41 Zn.upf
P 30.97 P.upf
H 1.01 H.upf
O 16.00 O.upf
ATOMIC_POSITIONS crystal
Zn 0.000 0.000 0.000
Zn 0.000 0.500 0.500
P 0.093 0.218 0.338
P 0.093 0.282 0.838
P 0.907 0.718 0.162
P 0.907 0.782 0.662
H 0.128 0.733 0.008
H 0.128 0.767 0.508
H 0.389 0.075 0.828
H 0.389 0.425 0.328
H 0.405 0.556 0.225
H 0.405 0.944 0.725
H 0.450 0.102 0.608
H 0.450 0.398 0.108
H 0.550 0.602 0.892
H 0.550 0.898 0.392
H 0.595 0.056 0.275
H 0.595 0.444 0.775
H 0.611 0.575 0.672
H 0.611 0.925 0.172
H 0.872 0.233 0.492
H 0.872 0.267 0.992
O 0.023 0.670 0.362
O 0.023 0.830 0.862
O 0.142 0.131 0.863
O 0.142 0.369 0.363
O 0.163 0.677 0.125
O 0.163 0.823 0.625
O 0.406 0.141 0.482
O 0.406 0.359 0.982
O 0.481 0.532 0.716
O 0.481 0.968 0.216
O 0.519 0.032 0.784
O 0.519 0.468 0.284
O 0.594 0.641 0.018
O 0.594 0.859 0.518
O 0.837 0.177 0.375
O 0.837 0.323 0.875
O 0.858 0.631 0.637
O 0.858 0.869 0.137
O 0.977 0.170 0.138
O 0.977 0.330 0.638
CELL_PARAMETERS angstrom
5.165 0.000 0.000
0.000 9.993 0.000
-4.936 0.000 6.992



[9]
! SiICl2 | Alexandria | SCAN | PBEsol geometry; values from VASP
! total moment: 0.000 μB/atom
! uncorrected formation energy: -169 meV/atom
! V: 30.84 A^3/atom
&SYSTEM
  ibrav = 0, nat = 4, ntyp = 3
/
ATOMIC_SPECIES
Si 28.09 Si.upf
I 126.90 I.upf
Cl 35.45 Cl.upf
ATOMIC_POSITIONS crystal
Si 0.000 0.000 0.000
I 0.500 0.500 0.500
Cl 0.379 0.379 0.379
Cl 0.621 0.621 0.621
CELL_PARAMETERS angstrom
1.780 1.028 11.237
-1.780 1.028 11.237
0.000 -2.056 11.237



[10]
! LiVF4 | Alexandria | SCAN | PBEsol geometry; values from VASP
! energy above the most stable polymorph in this dataset: 0.46 eV per formula unit
! total moment: 0.333 μB/atom
! uncorrected formation energy: -3141 meV/atom
! V: 11.60 A^3/atom
&SYSTEM
  ibrav = 0, nat = 48, ntyp = 3
/
ATOMIC_SPECIES
Li 6.94 Li.upf
V 50.94 V.upf
F 19.00 F.upf
ATOMIC_POSITIONS crystal
Li 0.025 0.250 0.035
Li 0.026 0.250 0.627
Li 0.474 0.750 0.127
Li 0.475 0.750 0.535
Li 0.525 0.250 0.465
Li 0.526 0.250 0.873
Li 0.974 0.750 0.373
Li 0.975 0.750 0.965
V 0.241 0.503 0.881
V 0.241 0.997 0.881
V 0.259 0.003 0.381
V 0.259 0.497 0.381
V 0.741 0.503 0.619
V 0.741 0.997 0.619
V 0.759 0.003 0.119
V 0.759 0.497 0.119
F 0.067 0.075 0.840
F 0.067 0.425 0.840
F 0.101 0.078 0.460
F 0.101 0.422 0.460
F 0.161 0.750 0.915
F 0.196 0.750 0.337
F 0.209 0.066 0.134
F 0.209 0.434 0.134
F 0.291 0.566 0.634
F 0.291 0.934 0.634
F 0.304 0.250 0.837
F 0.339 0.250 0.415
F 0.399 0.578 0.960
F 0.399 0.922 0.960
F 0.433 0.575 0.340
F 0.433 0.925 0.340
F 0.567 0.075 0.660
F 0.567 0.425 0.660
F 0.601 0.078 0.040
F 0.601 0.422 0.040
F 0.661 0.750 0.585
F 0.696 0.750 0.163
F 0.709 0.066 0.366
F 0.709 0.434 0.366
F 0.791 0.566 0.866
F 0.791 0.934 0.866
F 0.804 0.250 0.663
F 0.839 0.250 0.085
F 0.899 0.578 0.540
F 0.899 0.922 0.540
F 0.933 0.575 0.160
F 0.933 0.925 0.160
CELL_PARAMETERS angstrom
10.436 0.000 0.000
0.000 7.273 0.000
0.000 0.000 7.336



[11]
! K2Au | Alexandria | SCAN | PBEsol geometry; values from VASP
! calculated formation energy: -6.43 kcal/mol of atoms
! total moment: 0.006 μB/atom
! V: 40.08 A^3/atom
&SYSTEM
  ibrav = 0, nat = 3, ntyp = 2
/
ATOMIC_SPECIES
K 39.10 K.upf
Au 196.97 Au.upf
ATOMIC_POSITIONS crystal
K 0.120 0.120 0.000
K 0.880 0.880 0.000
Au 0.500 0.500 0.000
CELL_PARAMETERS angstrom
-1.980 1.980 7.669
1.980 -1.980 7.669
1.980 1.980 -7.669



[12]
! P2IrSe | Alexandria | SCAN | PBEsol geometry; values from VASP
! total moment: 0.000 μB/atom
! uncorrected formation energy: -11 meV/atom
! V: 15.91 A^3/atom
&SYSTEM
  ibrav = 0, nat = 4, ntyp = 3
/
ATOMIC_SPECIES
P 30.97 P.upf
Ir 192.22 Ir.upf
Se 78.96 Se.upf
ATOMIC_POSITIONS crystal
P 0.228 0.000 0.292
P 0.772 0.000 0.708
Ir 0.000 0.500 0.500
Se 0.500 0.500 0.000
CELL_PARAMETERS angstrom
4.613 0.000 0.000
0.000 3.306 0.000
-2.088 0.000 4.172



[13]
! SrAg2Sb | Alexandria | SCAN | PBEsol geometry; values from VASP
! total moment: 0.000 μB/atom
! uncorrected formation energy: -356 meV/atom
! V: 25.22 A^3/atom
&SYSTEM
  ibrav = 0, nat = 4, ntyp = 3
/
ATOMIC_SPECIES
Sr 87.62 Sr.upf
Ag 107.87 Ag.upf
Sb 121.76 Sb.upf
ATOMIC_POSITIONS crystal
Sr 0.000 0.000 0.000
Ag 0.500 0.500 0.243
Ag 0.500 0.500 0.757
Sb 0.500 0.000 0.500
CELL_PARAMETERS angstrom
3.666 0.000 0.000
0.000 4.851 0.000
0.000 0.000 5.672



[14]
! Ru3Rh | Alexandria | SCAN | PBEsol geometry; values from VASP
! calculated formation energy: 0.45 kcal/mol of atoms
! total moment: 0.000 μB/atom
! V: 13.31 A^3/atom
&SYSTEM
  ibrav = 0, nat = 4, ntyp = 2
/
ATOMIC_SPECIES
Ru 101.07 Ru.upf
Rh 102.91 Rh.upf
ATOMIC_POSITIONS crystal
Ru 0.000 0.000 0.000
Ru 0.415 0.667 0.748
Ru 0.919 0.667 0.252
Rh 0.502 0.002 0.500
CELL_PARAMETERS angstrom
-1.343 4.254 2.329
1.343 -4.254 2.329
1.343 4.254 -2.329



[15]
! ZnNi3 | Alexandria | SCAN | PBEsol geometry; values from VASP
! calculated formation energy: -1.74 kcal/mol of atoms
! total moment: 0.369 μB/atom
! V: 10.85 A^3/atom
&SYSTEM
  ibrav = 0, nat = 4, ntyp = 2
/
ATOMIC_SPECIES
Zn 65.41 Zn.upf
Ni 58.69 Ni.upf
ATOMIC_POSITIONS crystal
Zn 0.000 0.000 0.000
Ni 0.248 0.248 0.744
Ni 0.500 0.500 0.500
Ni 0.752 0.752 0.256
CELL_PARAMETERS angstrom
4.111 -1.255 0.000
4.111 1.255 0.000
-0.787 0.000 4.206



[16]
! Ba2TcAg | Alexandria | SCAN | PBEsol geometry; values from VASP
! calculated formation energy: 14.93 kcal/mol of atoms
! energy above the most stable polymorph in this dataset: 0.00 eV per formula unit
! total moment: 0.608 μB/atom
! V: 29.44 A^3/atom
&SYSTEM
  ibrav = 0, nat = 4, ntyp = 3
/
ATOMIC_SPECIES
Ba 137.33 Ba.upf
Tc 98.00 Tc.upf
Ag 107.87 Ag.upf
ATOMIC_POSITIONS crystal
Ba 0.250 0.250 0.250
Ba 0.750 0.750 0.750
Tc 0.000 0.000 0.000
Ag 0.500 0.500 0.500
CELL_PARAMETERS angstrom
0.000 3.891 3.891
3.891 0.000 3.891
3.891 3.891 0.000



[17]
! SbCSCl2F9 | Alexandria | SCAN | PBEsol geometry; values from VASP
! total moment: 0.000 μB/atom
! uncorrected formation energy: -1694 meV/atom
! V: 16.42 A^3/atom
&SYSTEM
  ibrav = 0, nat = 56, ntyp = 5
/
ATOMIC_SPECIES
Sb 121.76 Sb.upf
C 12.01 C.upf
S 32.06 S.upf
Cl 35.45 Cl.upf
F 19.00 F.upf
ATOMIC_POSITIONS crystal
Sb 0.198 0.249 0.066
Sb 0.198 0.251 0.566
Sb 0.802 0.749 0.434
Sb 0.802 0.751 0.934
C 0.378 0.669 0.627
C 0.378 0.831 0.127
C 0.622 0.169 0.873
C 0.622 0.331 0.373
S 0.166 0.674 0.697
S 0.166 0.826 0.197
S 0.834 0.174 0.803
S 0.834 0.326 0.303
Cl 0.176 0.629 0.242
Cl 0.176 0.871 0.742
Cl 0.253 0.571 0.832
Cl 0.253 0.929 0.332
Cl 0.747 0.071 0.668
Cl 0.747 0.429 0.168
Cl 0.824 0.129 0.258
Cl 0.824 0.371 0.758
F 0.035 0.714 0.008
F 0.035 0.786 0.508
F 0.121 0.072 0.112
F 0.121 0.428 0.612
F 0.140 0.169 0.694
F 0.140 0.331 0.194
F 0.244 0.166 0.936
F 0.244 0.334 0.436
F 0.274 0.074 0.522
F 0.274 0.426 0.022
F 0.326 0.618 0.528
F 0.326 0.882 0.028
F 0.427 0.208 0.140
F 0.427 0.292 0.640
F 0.437 0.703 0.122
F 0.437 0.797 0.622
F 0.493 0.587 0.686
F 0.493 0.913 0.186
F 0.507 0.087 0.814
F 0.507 0.413 0.314
F 0.563 0.203 0.378
F 0.563 0.297 0.878
F 0.573 0.708 0.360
F 0.573 0.792 0.860
F 0.674 0.118 0.972
F 0.674 0.382 0.472
F 0.726 0.574 0.978
F 0.726 0.926 0.478
F 0.756 0.666 0.564
F 0.756 0.834 0.064
F 0.860 0.669 0.806
F 0.860 0.831 0.306
F 0.879 0.572 0.388
F 0.879 0.928 0.888
F 0.965 0.214 0.492
F 0.965 0.286 0.992
CELL_PARAMETERS angstrom
7.820 0.000 0.000
0.000 9.594 0.000
-2.217 0.000 12.258



[18]
! Na2ScInSi4O12 | Alexandria | SCAN | PBEsol geometry; values from VASP
! total moment: 0.000 μB/atom
! uncorrected formation energy: -2914 meV/atom
! V: 11.61 A^3/atom
&SYSTEM
  ibrav = 0, nat = 20, ntyp = 5
/
ATOMIC_SPECIES
Na 22.99 Na.upf
Sc 44.96 Sc.upf
In 114.82 In.upf
Si 28.09 Si.upf
O 16.00 O.upf
ATOMIC_POSITIONS crystal
Na 0.000 0.000 0.000
Na 0.604 0.396 0.500
Sc 0.408 0.592 0.000
In 0.198 0.802 0.500
Si 0.098 0.321 0.505
Si 0.505 0.077 0.996
Si 0.679 0.902 0.495
Si 0.923 0.495 0.004
O 0.104 0.659 0.095
O 0.195 0.095 0.432
O 0.265 0.500 0.606
O 0.341 0.896 0.905
O 0.415 0.308 0.059
O 0.500 0.735 0.394
O 0.640 0.057 0.768
O 0.662 0.041 0.270
O 0.692 0.585 0.941
O 0.905 0.805 0.568
O 0.943 0.360 0.232
O 0.959 0.338 0.730
CELL_PARAMETERS angstrom
4.964 -4.551 0.000
4.964 4.551 0.000
-1.595 0.000 5.138



[19]
! Sc5Tl | Alexandria | SCAN | PBEsol geometry; values from VASP
! calculated formation energy: -2.82 kcal/mol of atoms
! energy above the most stable polymorph in this dataset: 0.58 eV per formula unit
! total moment: 0.001 μB/atom
! V: 22.87 A^3/atom
&SYSTEM
  ibrav = 0, nat = 6, ntyp = 2
/
ATOMIC_SPECIES
Sc 44.96 Sc.upf
Tl 204.38 Tl.upf
ATOMIC_POSITIONS crystal
Sc 0.000 0.679 0.000
Sc 0.321 0.321 0.000
Sc 0.333 0.667 0.500
Sc 0.667 0.333 0.500
Sc 0.679 0.000 0.000
Tl 0.000 0.000 0.500
CELL_PARAMETERS angstrom
5.585 0.000 0.000
-2.792 4.836 0.000
0.000 0.000 5.081



[20]
! KReTe2 | Alexandria | SCAN | PBEsol geometry; values from VASP
! energy above the most stable polymorph in this dataset: 2.24 eV per formula unit
! total moment: 0.001 μB/atom
! uncorrected formation energy: 746 meV/atom
! V: 24.09 A^3/atom
&SYSTEM
  ibrav = 0, nat = 4, ntyp = 3
/
ATOMIC_SPECIES
K 39.10 K.upf
Re 186.21 Re.upf
Te 127.60 Te.upf
ATOMIC_POSITIONS crystal
K 0.000 0.000 0.000
Re 0.500 0.500 0.500
Te 0.421 0.421 0.421
Te 0.579 0.579 0.579
CELL_PARAMETERS angstrom
1.612 0.931 10.696
-1.612 0.931 10.696
0.000 -1.862 10.696